# Nd2Tl2O5

A geometry-optimized Nd2Tl2O5 structure (PBE, OQMD).

abc: 4.3584 4.3584 7.1693
angles: 90.00 90.00 90.00
Element x y z (fractional)
Nd  0.0000  0.0000  0.0000
Nd  0.0000  0.0000  0.5000
Tl  0.5000  0.5000  0.1945
Tl  0.5000  0.5000  0.8055
O  0.0000  0.5000  0.2431
O  0.0000  0.5000  0.7569
O  0.5000  0.0000  0.2431
O  0.5000  0.0000  0.7569
O  0.5000  0.5000  0.5000

Summary:
**Relative energy among the computed polymorphs**: 0.445 eV per atom

=====

# NdTlO3

A geometry-optimized NdTlO3 structure (PBE, OQMD).

abc: 6.1276 6.1276 6.1276
angles: 58.06 58.06 58.06
Element x y z (fractional)
Nd  0.1358  0.1358  0.1358
Nd  0.8642  0.8642  0.8642
Tl  0.3587  0.3587  0.3587
Tl  0.6413  0.6413  0.6413
O  0.0474  0.4650  0.7374
O  0.2626  0.9526  0.5350
O  0.4650  0.7374  0.0474
O  0.5350  0.2626  0.9526
O  0.7374  0.0474  0.4650
O  0.9526  0.5350  0.2626

=====

# NdTlO3

A geometry-optimized NdTlO3 structure (PBE, OQMD).

abc: 6.1127 8.4386 5.7393
angles: 90.00 90.00 90.00
Element x y z (fractional)
Nd  0.0683  0.2500  0.0236
Nd  0.4317  0.7500  0.5236
Nd  0.5683  0.2500  0.4764
Nd  0.9317  0.7500  0.9764
Tl  0.0000  0.0000  0.5000
Tl  0.0000  0.5000  0.5000
Tl  0.5000  0.0000  0.0000
Tl  0.5000  0.5000  0.0000
O  0.0723  0.7500  0.3512
O  0.1876  0.5754  0.8117
O  0.1876  0.9246  0.8117
O  0.3124  0.0754  0.3117
O  0.3124  0.4246  0.3117
O  0.4277  0.2500  0.8512
O  0.5723  0.7500  0.1488
O  0.6876  0.5754  0.6883
O  0.6876  0.9246  0.6883
O  0.8124  0.0754  0.1883
O  0.8124  0.4246  0.1883
O  0.9277  0.2500  0.6488

=====

# NdTlZnO3

A geometry-optimized NdTlZnO3 structure (PBE, OQMD).

abc: 6.0614 6.0614 9.5076
angles: 90.00 90.00 144.55
Element x y z (fractional)
Nd  0.0000  0.0000  0.0000
Nd  0.0000  0.0000  0.5000
Tl  0.2854  0.7146  0.7500
Tl  0.7146  0.2854  0.2500
Zn  0.4287  0.5713  0.2500
Zn  0.5713  0.4287  0.7500
O  0.0343  0.9657  0.2500
O  0.3793  0.6207  0.0596
O  0.3793  0.6207  0.4404
O  0.6207  0.3793  0.5596
O  0.6207  0.3793  0.9404
O  0.9657  0.0343  0.7500

=====

# Nd2Tm2O5

A geometry-optimized Nd2Tm2O5 structure (PBE, OQMD).

abc: 4.2667 4.2667 7.6811
angles: 90.00 90.00 90.00
Element x y z (fractional)
Nd  0.0000  0.0000  0.0000
Nd  0.0000  0.0000  0.5000
Tm  0.5000  0.5000  0.2301
Tm  0.5000  0.5000  0.7699
O  0.0000  0.5000  0.2414
O  0.0000  0.5000  0.7586
O  0.5000  0.0000  0.2414
O  0.5000  0.0000  0.7586
O  0.5000  0.5000  0.5000

Summary:
**Relative energy among the computed polymorphs**: 0.000 eV per atom

=====

# Nd2Tm2O5

A geometry-optimized Nd2Tm2O5 structure (PBE, OQMD).

abc: 3.9333 3.9333 9.7281
angles: 90.00 90.00 90.00
Element x y z (fractional)
Nd  0.0000  0.0000  0.2412
Nd  0.0000  0.0000  0.7588
Tm  0.5000  0.5000  0.0000
Tm  0.5000  0.5000  0.5000
O  0.0000  0.0000  0.5000
O  0.0000  0.5000  0.1341
O  0.0000  0.5000  0.8659
O  0.5000  0.0000  0.1341
O  0.5000  0.0000  0.8659

Summary:
**Relative energy among the computed polymorphs**: 0.114 eV per atom

=====

# NdTmO4

A geometry-optimized NdTmO4 structure (PBE, OQMD).

abc: 3.8753 3.8753 6.2243
angles: 96.02 96.02 58.28
Element x y z (fractional)
Nd  0.0000  0.0000  0.0000
Tm  0.3747  0.3747  0.4605
O  0.0424  0.0424  0.3889
O  0.3375  0.3375  0.1008
O  0.6054  0.6054  0.7777
O  0.7805  0.7805  0.6546

=====

# NdTm2O4

A geometry-optimized NdTm2O4 structure (PBE, OQMD).

abc: 6.7705 6.7705 6.7705
angles: 60.00 60.00 60.00
Element x y z (fractional)
Nd  0.1250  0.1250  0.1250
Nd  0.8750  0.8750  0.8750
Tm  0.0000  0.5000  0.5000
Tm  0.5000  0.0000  0.5000
Tm  0.5000  0.5000  0.0000
Tm  0.5000  0.5000  0.5000
O  0.2638  0.2638  0.2638
O  0.2638  0.2638  0.7085
O  0.2638  0.7085  0.2638
O  0.2915  0.7362  0.7362
O  0.7085  0.2638  0.2638
O  0.7362  0.2915  0.7362
O  0.7362  0.7362  0.2915
O  0.7362  0.7362  0.7362

=====

# Nd3TmO6

A geometry-optimized Nd3TmO6 structure (PBE, OQMD).

abc: 6.8840 6.8840 6.8840
angles: 91.91 91.91 91.91
Element x y z (fractional)
Nd  0.0576  0.7523  0.5643
Nd  0.2477  0.4357  0.9424
Nd  0.4357  0.9424  0.2477
Nd  0.5643  0.0576  0.7523
Nd  0.7523  0.5643  0.0576
Nd  0.9424  0.2477  0.4357
Tm  0.0000  0.0000  0.0000
Tm  0.5000  0.5000  0.5000
O  0.0344  0.6927  0.9048
O  0.0952  0.9656  0.3073
O  0.1932  0.4337  0.5883
O  0.3073  0.0952  0.9656
O  0.4117  0.8068  0.5663
O  0.4337  0.5883  0.1932
O  0.5663  0.4117  0.8068
O  0.5883  0.1932  0.4337
O  0.6927  0.9048  0.0344
O  0.8068  0.5663  0.4117
O  0.9048  0.0344  0.6927
O  0.9656  0.3073  0.0952

=====

# Nd2Y2O5

A geometry-optimized Nd2Y2O5 structure (PBE, OQMD).

abc: 4.3488 4.3488 7.6983
angles: 90.00 90.00 90.00
Element x y z (fractional)
Nd  0.0000  0.0000  0.0000
Nd  0.0000  0.0000  0.5000
Y  0.5000  0.5000  0.2263
Y  0.5000  0.5000  0.7737
O  0.0000  0.5000  0.2304
O  0.0000  0.5000  0.7696
O  0.5000  0.0000  0.2304
O  0.5000  0.0000  0.7696
O  0.5000  0.5000  0.5000

Summary:
**Relative energy among the computed polymorphs**: 0.056 eV per atom

=====

# NdY2O4

A geometry-optimized NdY2O4 structure (PBE, OQMD).

abc: 6.8621 6.8621 6.8621
angles: 60.00 60.00 60.00
Element x y z (fractional)
Nd  0.1250  0.1250  0.1250
Nd  0.8750  0.8750  0.8750
Y  0.0000  0.5000  0.5000
Y  0.5000  0.0000  0.5000
Y  0.5000  0.5000  0.0000
Y  0.5000  0.5000  0.5000
O  0.2617  0.2617  0.2617
O  0.2617  0.2617  0.7150
O  0.2617  0.7150  0.2617
O  0.2850  0.7383  0.7383
O  0.7150  0.2617  0.2617
O  0.7383  0.2850  0.7383
O  0.7383  0.7383  0.2850
O  0.7383  0.7383  0.7383

=====

# Nd2Y2O5

A geometry-optimized Nd2Y2O5 structure (PBE, OQMD).

abc: 3.9009 3.9009 10.1942
angles: 90.00 90.00 90.00
Element x y z (fractional)
Nd  0.0000  0.0000  0.2403
Nd  0.0000  0.0000  0.7597
Y  0.5000  0.5000  0.0000
Y  0.5000  0.5000  0.5000
O  0.0000  0.0000  0.5000
O  0.0000  0.5000  0.1347
O  0.0000  0.5000  0.8653
O  0.5000  0.0000  0.1347
O  0.5000  0.0000  0.8653

Summary:
**Relative energy among the computed polymorphs**: 0.000 eV per atom

=====

| no. | uncorrected energy (eV/atom) |
| --- | --- |
| 1 | -5.788 |
| 2 | -6.351 |
| 3 | -6.365 |
| 4 | -5.708 |
| 5 | -7.636 |
| 6 | -7.522 |
| 7 | -7.747 |
| 8 | -8.046 |
| 9 | -8.295 |
| 10 | -7.931 |
| 11 | -8.539 |
| 12 | -7.988 |